(1)
! PBE Pr2SnBrCl, optimized geometry; values from VASP
! * symmetry: P3m1 (156)
! * total energy: -24.299 eV/cell
&SYSTEM
  ibrav = 0, nat = 5, ntyp = 4
/
ATOMIC_SPECIES
Pr 140.91 Pr.upf
Sn 118.71 Sn.upf
Br 79.90 Br.upf
Cl 35.45 Cl.upf
ATOMIC_POSITIONS crystal
Pr 0.000 0.000 0.000
Pr 0.333 0.667 0.644
Sn 0.667 0.333 0.821
Br 0.000 0.000 0.477
Cl 0.333 0.667 0.142
CELL_PARAMETERS angstrom
4.432 0.000 0.000
-2.216 3.839 0.000
0.000 0.000 10.407


(2)
! PBE Rb2PtBr3Cl, optimized geometry; values from VASP
! * symmetry: Amm2 (38)
! * total energy: -23.149 eV/cell
&SYSTEM
  ibrav = 0, nat = 7, ntyp = 4
/
ATOMIC_SPECIES
Rb 85.47 Rb.upf
Pt 195.08 Pt.upf
Br 79.90 Br.upf
Cl 35.45 Cl.upf
ATOMIC_POSITIONS crystal
Rb 0.000 0.241 0.759
Rb 0.000 0.759 0.241
Pt 0.500 0.751 0.751
Br 0.500 0.518 0.983
Br 0.500 0.525 0.525
Br 0.500 0.983 0.518
Cl 0.500 0.966 0.966
CELL_PARAMETERS angstrom
4.574 0.000 0.000
0.000 5.295 5.438
0.000 -5.295 5.438


(3)
! PBE PtS2Br4Cl2, optimized geometry; values from VASP
! * symmetry: P-1 (2)
! * total energy: -26.187 eV/cell
&SYSTEM
  ibrav = 0, nat = 9, ntyp = 4
/
ATOMIC_SPECIES
Pt 195.08 Pt.upf
S 32.06 S.upf
Br 79.90 Br.upf
Cl 35.45 Cl.upf
ATOMIC_POSITIONS crystal
Pt 0.000 0.000 0.000
S 0.284 0.231 0.213
S 0.716 0.769 0.787
Br 0.050 0.502 0.215
Br 0.286 0.160 0.847
Br 0.714 0.840 0.153
Br 0.950 0.498 0.785
Cl 0.258 0.179 0.432
Cl 0.742 0.821 0.568
CELL_PARAMETERS angstrom
4.744 0.000 0.000
-0.449 7.057 0.000
-1.640 -2.188 8.247


(4)
! PBE PtS2Br2Cl4, optimized geometry; values from VASP
! * symmetry: P-1 (2)
! * total energy: -27.006 eV/cell
&SYSTEM
  ibrav = 0, nat = 9, ntyp = 4
/
ATOMIC_SPECIES
Pt 195.08 Pt.upf
S 32.06 S.upf
Br 79.90 Br.upf
Cl 35.45 Cl.upf
ATOMIC_POSITIONS crystal
Pt 0.000 0.000 0.000
S 0.299 0.229 0.213
S 0.701 0.771 0.787
Br 0.069 0.509 0.219
Br 0.931 0.491 0.781
Cl 0.258 0.176 0.435
Cl 0.272 0.148 0.843
Cl 0.728 0.852 0.157
Cl 0.742 0.824 0.565
CELL_PARAMETERS angstrom
4.552 0.000 0.000
-0.381 6.936 0.000
-1.330 -2.152 8.100


(5)
! PBE Pu2BrCl5, optimized geometry; values from VASP
! * symmetry: Pm (6)
! * total energy: -54.120 eV/cell
&SYSTEM
  ibrav = 0, nat = 8, ntyp = 3
/
ATOMIC_SPECIES
Pu 244.00 Pu.upf
Br 79.90 Br.upf
Cl 35.45 Cl.upf
ATOMIC_POSITIONS crystal
Pu 0.000 0.000 0.000
Pu 0.337 0.500 0.672
Br 0.951 0.500 0.256
Cl 0.065 0.000 0.652
Cl 0.274 0.500 0.033
Cl 0.360 0.000 0.423
Cl 0.575 0.000 0.936
Cl 0.756 0.500 0.730
CELL_PARAMETERS angstrom
7.430 0.000 0.000
0.000 4.243 0.000
-3.630 0.000 6.618


(6)
! PBE PuBr2Cl, optimized geometry; values from VASP
! * symmetry: P2_1/m (11)
! * total energy: -51.990 eV/cell
&SYSTEM
  ibrav = 0, nat = 8, ntyp = 3
/
ATOMIC_SPECIES
Pu 244.00 Pu.upf
Br 79.90 Br.upf
Cl 35.45 Cl.upf
ATOMIC_POSITIONS crystal
Pu 0.162 0.250 0.334
Pu 0.838 0.750 0.666
Br 0.123 0.250 0.912
Br 0.422 0.750 0.297
Br 0.578 0.250 0.703
Br 0.877 0.750 0.088
Cl 0.183 0.750 0.588
Cl 0.817 0.250 0.412
CELL_PARAMETERS angstrom
7.595 0.000 0.000
0.000 4.344 0.000
-3.564 0.000 6.873


Computed values of V (unit: Å³ per atom) for the preceding records, in sequence: 35.4, 37.6, 30.7, 28.4, 26.1, 28.3.